[1]
# K2MoSe PBE-GGA relaxed
# ΔE_f (raw): 0.667 eV per atom
# total magnetization: 1.267 μB/atom
# SG: P4/mmm, No. 123
# theoretical density: 3.047 g/cm3
data_K2MoSe
_chemical_formula_sum 'K2 Mo1 Se1'
_space_group_name_H-M_alt 'P 1'
_space_group_IT_number 1
_cell_length_a 3.831
_cell_length_b 3.831
_cell_length_c 9.394
_cell_angle_alpha 90.00
_cell_angle_beta 90.00
_cell_angle_gamma 90.00
loop_
_space_group_symop_operation_xyz
'x,y,z'
loop_
_atom_site_label
_atom_site_fract_x
_atom_site_fract_y
_atom_site_fract_z
K1 0.000 0.000 0.944
K2 0.000 0.000 0.556
Mo1 0.500 0.500 0.250
Se1 0.500 0.500 0.750

***

[2]
# LiCoTc2 PBE-GGA relaxed
# E: -7.201 eV per atom
# total magnetization: 0.418 μB/atom
# SG: Imm2, No. 44
# theoretical density: 8.476 g/cm3
data_LiCoTc2
_chemical_formula_sum 'Li1 Co1 Tc2'
_space_group_name_H-M_alt 'P 1'
_space_group_IT_number 1
_cell_length_a 4.711
_cell_length_b 4.711
_cell_length_c 4.711
_cell_angle_alpha 140.93
_cell_angle_beta 127.75
_cell_angle_gamma 67.14
loop_
_space_group_symop_operation_xyz
'x,y,z'
loop_
_atom_site_label
_atom_site_fract_x
_atom_site_fract_y
_atom_site_fract_z
Li1 0.258 0.758 0.500
Tc1 0.996 0.996 0.000
Tc2 0.748 0.248 0.500
Co1 0.498 0.498 0.000

***

[3]
# SrLiP2Pt4 PBE-GGA relaxed
# E: -5.489 eV per atom
# total magnetization: 0.000 μB/atom
# SG: P4/mmm, No. 123
# theoretical density: 10.844 g/cm3
data_SrLiP2Pt4
_chemical_formula_sum 'Sr1 Li1 P2 Pt4'
_space_group_name_H-M_alt 'P 1'
_space_group_IT_number 1
_cell_length_a 4.090
_cell_length_b 4.090
_cell_length_c 8.574
_cell_angle_alpha 90.00
_cell_angle_beta 90.00
_cell_angle_gamma 90.00
loop_
_space_group_symop_operation_xyz
'x,y,z'
loop_
_atom_site_label
_atom_site_fract_x
_atom_site_fract_y
_atom_site_fract_z
Sr1 0.000 0.000 0.500
P1 0.500 0.500 0.692
P2 0.500 0.500 0.308
Pt1 0.500 0.000 0.825
Pt2 0.000 0.500 0.825
Pt3 0.500 0.000 0.175
Pt4 0.000 0.500 0.175
Li1 0.000 0.000 0.000

***

[4]
# TaTl2Fe PBE-GGA relaxed
# E: -5.670 eV per atom
# total magnetization: 0.585 μB/atom
# SG: Imm2, No. 44
# theoretical density: 12.928 g/cm3
data_TaTl2Fe
_chemical_formula_sum 'Ta1 Tl2 Fe1'
_space_group_name_H-M_alt 'P 1'
_space_group_IT_number 1
_cell_length_a 6.218
_cell_length_b 6.218
_cell_length_c 6.218
_cell_angle_alpha 151.54
_cell_angle_beta 133.26
_cell_angle_gamma 55.64
loop_
_space_group_symop_operation_xyz
'x,y,z'
loop_
_atom_site_label
_atom_site_fract_x
_atom_site_fract_y
_atom_site_fract_z
Fe1 0.470 0.470 0.000
Ta1 0.291 0.791 0.500
Tl1 0.011 0.011 0.000
Tl2 0.728 0.228 0.500

***

[5]
# TbSeF PBE-GGA relaxed
# ΔE_f (raw): -2.872 eV per atom
# total magnetization: 0.000 μB/atom
# SG: P-6m2, No. 187
# theoretical density: 7.590 g/cm3
data_TbSeF
_chemical_formula_sum 'Tb1 Se1 F1'
_space_group_name_H-M_alt 'P 1'
_space_group_IT_number 1
_cell_length_a 4.027
_cell_length_b 4.014
_cell_length_c 4.014
_cell_angle_alpha 120.00
_cell_angle_beta 90.00
_cell_angle_gamma 90.00
loop_
_space_group_symop_operation_xyz
'x,y,z'
loop_
_atom_site_label
_atom_site_fract_x
_atom_site_fract_y
_atom_site_fract_z
Se1 0.667 0.333 0.667
Tb1 0.167 0.667 0.333
F1 0.167 0.000 0.000

***

[6]
# Nd5Sn2Bi PBE-GGA relaxed
# E: -5.146 eV per atom
# total magnetization: 0.317 μB/atom
# SG: I4/mcm, No. 140
# theoretical density: 7.619 g/cm3
data_Nd5Sn2Bi
_chemical_formula_sum 'Nd10 Sn4 Bi2'
_space_group_name_H-M_alt 'P 1'
_space_group_IT_number 1
_cell_length_a 8.426
_cell_length_b 8.426
_cell_length_c 9.322
_cell_angle_alpha 116.87
_cell_angle_beta 116.87
_cell_angle_gamma 90.00
loop_
_space_group_symop_operation_xyz
'x,y,z'
loop_
_atom_site_label
_atom_site_fract_x
_atom_site_fract_y
_atom_site_fract_z
Sn1 0.862 0.638 0.000
Sn2 0.138 0.362 0.000
Sn3 0.638 0.138 0.000
Sn4 0.362 0.862 0.000
Nd1 0.000 0.000 0.000
Nd2 0.808 0.988 0.296
Nd3 0.692 0.192 0.704
Nd4 0.488 0.308 0.296
Nd5 0.512 0.692 0.704
Nd6 0.012 0.512 0.704
Nd7 0.500 0.500 0.000
Nd8 0.308 0.808 0.296
Nd9 0.988 0.488 0.296
Nd10 0.192 0.012 0.704
Bi1 0.250 0.250 0.500
Bi2 0.750 0.750 0.500

***

[7]
# Ba4NpTi3O12 PBE-GGA relaxed
# ΔE_f (raw): -3.014 eV per atom
# total magnetization: 0.151 μB/atom
# SG: Im-3m, No. 229
# theoretical density: 6.612 g/cm3
data_Ba4NpTi3O12
_chemical_formula_sum 'Ba4 Np1 Ti3 O12'
_space_group_name_H-M_alt 'P 1'
_space_group_IT_number 1
_cell_length_a 7.153
_cell_length_b 7.153
_cell_length_c 7.153
_cell_angle_alpha 109.47
_cell_angle_beta 109.47
_cell_angle_gamma 109.47
loop_
_space_group_symop_operation_xyz
'x,y,z'
loop_
_atom_site_label
_atom_site_fract_x
_atom_site_fract_y
_atom_site_fract_z
O1 0.000 0.739 0.739
O2 0.739 0.739 0.000
O3 0.261 0.000 0.261
O4 0.261 0.261 0.000
O5 0.739 0.000 0.739
O6 0.750 0.250 0.500
O7 0.500 0.750 0.250
O8 0.250 0.750 0.500
O9 0.750 0.500 0.250
O10 0.250 0.500 0.750
O11 0.000 0.261 0.261
O12 0.500 0.250 0.750
Ti1 0.000 0.500 0.500
Ti2 0.500 0.000 0.500
Ti3 0.500 0.500 0.000
Ba1 0.500 0.000 0.000
Ba2 0.000 0.500 0.000
Ba3 0.000 0.000 0.500
Ba4 0.500 0.500 0.500
Np1 0.000 0.000 0.000

***

[8]
# SrCaMg2F PBE-GGA relaxed
# ΔE_f (raw): -0.646 eV per atom
# total magnetization: 0.000 μB/atom
# SG: P4/mmm, No. 123
# theoretical density: 1.681 g/cm3
data_SrCaMg2F
_chemical_formula_sum 'Sr1 Ca1 Mg2 F1'
_space_group_name_H-M_alt 'P 1'
_space_group_IT_number 1
_cell_length_a 6.611
_cell_length_b 4.414
_cell_length_c 6.611
_cell_angle_alpha 90.00
_cell_angle_beta 90.00
_cell_angle_gamma 90.00
loop_
_space_group_symop_operation_xyz
'x,y,z'
loop_
_atom_site_label
_atom_site_fract_x
_atom_site_fract_y
_atom_site_fract_z
Ca1 0.500 0.500 0.500
F1 0.000 0.500 0.000
Mg1 0.500 0.000 0.000
Mg2 0.000 0.000 0.500
Sr1 0.000 0.000 0.000

***

[9]
# InPW2 PBE-GGA relaxed
# E: -7.808 eV per atom
# total magnetization: 0.000 μB/atom
# SG: P4/mmm, No. 123
# theoretical density: 13.225 g/cm3
data_InPW2
_chemical_formula_sum 'In1 P1 W2'
_space_group_name_H-M_alt 'P 1'
_space_group_IT_number 1
_cell_length_a 4.495
_cell_length_b 4.495
_cell_length_c 3.191
_cell_angle_alpha 90.00
_cell_angle_beta 90.00
_cell_angle_gamma 89.96
loop_
_space_group_symop_operation_xyz
'x,y,z'
loop_
_atom_site_label
_atom_site_fract_x
_atom_site_fract_y
_atom_site_fract_z
W1 0.500 0.500 0.000
W2 0.000 0.000 0.000
P1 0.000 0.500 0.500
In1 0.500 0.000 0.500

***

Among the records above, which one has the highest total magnetization? K2MoSe